No. 1
Cs2KTl12Ag3 PBE relaxed; density of states at the Fermi level = 9.77 states/eV per cell; formation energy from the elements = 0.0872 eV per atom; calculated volume = 662 Å³ per cell
1.0
4.0264 2.3247 11.7926
-4.0264 2.3247 11.7926
0.0000 -4.6493 11.7926
Cs K Tl Ag
2 1 12 3
Cartesian
0.0000 0.0000 5.1453
0.0000 0.0000 30.2324
0.0000 0.0000 17.6888
0.0000 -2.7711 10.3138
-2.3998 1.3855 10.3138
-1.7322 -1.0001 14.8654
-2.3998 -1.3855 25.0638
0.0000 -2.0002 20.5123
-1.7322 1.0001 20.5123
1.7322 -1.0001 14.8654
0.0000 2.0002 14.8654
2.3998 1.3855 10.3139
1.7322 1.0001 20.5123
2.3998 -1.3855 25.0639
0.0000 2.7711 25.0639
-2.0132 -1.1623 11.7926
-2.0132 1.1623 23.5851
0.0000 2.3246 11.7926

No. 2
Er2Sc3Cd4 PBE relaxed; density of states at the Fermi level = 15.18 states/eV per cell; formation energy from the elements = -0.1490 eV per atom; calculated volume = 448 Å³ per cell
1.0
3.2232 -8.7797 0.0000
3.2232 8.7797 0.0000
0.0000 0.0000 7.9095
Er Sc Cd
4 6 8
Cartesian
3.2232 7.1083 7.0928
3.2232 1.6714 3.1381
3.2232 -1.6714 4.7715
3.2232 -7.1083 0.8167
0.0000 0.0000 3.9548
1.6116 4.2729 5.9322
1.6116 -4.2729 1.9774
3.2232 0.0000 0.0000
4.8349 4.2729 5.9322
4.8349 -4.2729 1.9774
3.2232 5.8876 4.0984
1.6116 1.2628 5.9322
1.6116 -1.2628 1.9774
3.2232 2.8921 0.1436
3.2232 -2.8921 7.7659
4.8349 1.2628 5.9322
4.8349 -1.2628 1.9774
3.2232 -5.8876 3.8111

No. 3
ErPaCoIr PBE relaxed; density of states at the Fermi level = 5.50 states/eV per cell; formation energy from the elements = -0.4430 eV per atom; calculated volume = 78 Å³ per cell
1.0
0.0000 3.3920 3.3920
3.3920 0.0000 3.3920
3.3920 3.3920 0.0000
Er Pa Co Ir
1 1 1 1
Cartesian
0.0000 0.0000 0.0000
3.3920 3.3920 3.3920
5.0881 5.0881 5.0881
1.6960 1.6960 1.6960